Entry 1:
# SrCa2Sb (GGA-PBE, relaxed)
data_SrCa2Sb
_space_group_name_H-M_alt 'P 1'
_space_group_IT_number 1
_cell_length_a 4.3366
_cell_length_b 4.3366
_cell_length_c 7.6970
_cell_angle_alpha 90.00
_cell_angle_beta 90.00
_cell_angle_gamma 90.00
loop_
_space_group_symop_operation_xyz
'x,y,z'
loop_
_atom_site_label
_atom_site_type_symbol
_atom_site_fract_x
_atom_site_fract_y
_atom_site_fract_z
_atom_site_occupancy
Ca1 Ca 0.0000 0.0000 0.0296 1
Sb1 Sb 0.0000 0.0000 0.4718 1
Sr1 Sr 0.5000 0.5000 0.7108 1
Ca2 Ca 0.5000 0.5000 0.2878 1
# Raw formation energy: -0.503 eV per atom
# Space group: P4mm
# Total magnetization: 0.000 μB per formula unit

Entry 2:
# NbS2IN (GGA-PBE, relaxed)
data_NbS2IN
_space_group_name_H-M_alt 'P 1'
_space_group_IT_number 1
_cell_length_a 5.1692
_cell_length_b 5.1692
_cell_length_c 3.8625
_cell_angle_alpha 90.00
_cell_angle_beta 90.00
_cell_angle_gamma 90.00
loop_
_space_group_symop_operation_xyz
'x,y,z'
loop_
_atom_site_label
_atom_site_type_symbol
_atom_site_fract_x
_atom_site_fract_y
_atom_site_fract_z
_atom_site_occupancy
S1 S 0.5000 0.0000 0.0000 1
S2 S 0.0000 0.5000 0.0000 1
N1 N 0.0000 0.0000 0.5000 1
I1 I 0.0000 0.0000 0.0000 1
Nb1 Nb 0.5000 0.5000 0.5000 1
# Polymorph energy (0 for the lowest one): 1275 meV/atom
# Raw formation energy: 1.490 eV per atom
# Space group: P4/mmm
# Total magnetization: 2.899 μB per formula unit

Entry 3:
# SrPAu (GGA-PBE, relaxed)
data_SrPAu
_space_group_name_H-M_alt 'P 1'
_space_group_IT_number 1
_cell_length_a 8.1239
_cell_length_b 4.3468
_cell_length_c 4.3468
_cell_angle_alpha 90.02
_cell_angle_beta 105.52
_cell_angle_gamma 74.49
loop_
_space_group_symop_operation_xyz
'x,y,z'
loop_
_atom_site_label
_atom_site_type_symbol
_atom_site_fract_x
_atom_site_fract_y
_atom_site_fract_z
_atom_site_occupancy
P1 P 0.9215 0.8863 0.4410 1
Au1 Au 0.2586 0.7199 0.6096 1
Sr1 Sr 0.0907 0.3032 0.0255 1
Au2 Au 0.7586 0.9694 0.8595 1
Sr2 Sr 0.5907 0.5533 0.2758 1
P2 P 0.4215 0.1383 0.6921 1
# Space group: Cc
# ΔE_f: -0.864 eV per atom
# Total magnetization: 0.000 μB per formula unit

Entry 4:
# RbGeRu2O (GGA-PBE, relaxed)
data_RbGeRu2O
_space_group_name_H-M_alt 'P 1'
_space_group_IT_number 1
_cell_length_a 4.1699
_cell_length_b 5.1736
_cell_length_c 4.1699
_cell_angle_alpha 90.00
_cell_angle_beta 90.00
_cell_angle_gamma 90.00
loop_
_space_group_symop_operation_xyz
'x,y,z'
loop_
_atom_site_label
_atom_site_type_symbol
_atom_site_fract_x
_atom_site_fract_y
_atom_site_fract_z
_atom_site_occupancy
Ru1 Ru 0.5000 0.0000 0.0000 1
Ru2 Ru 0.0000 0.0000 0.5000 1
O1 O 0.0000 0.0000 0.0000 1
Rb1 Rb 0.0000 0.5000 0.0000 1
Ge1 Ge 0.5000 0.5000 0.5000 1
# Raw formation energy: 0.630 eV per atom
# Space group: P4/mmm
# Total magnetization: 1.614 μB per formula unit

Question: Number 3 is which compound?
Answer: SrPAu